A geometry-optimized Ce2SnF8 structure, computed with GGA-PBE.

Results
The formation energy from raw total energies comes out at -3.4914 eV/atom.

Lattice parameters (Å, degrees): 4.483 6.631 6.631 112.02 97.75 97.75
Last column: magnetic moment on the atom in μB.
Sites, in units of the cell vectors:
Sn: 0.827 0.026 0.026  0.00
Ce: 0.499 0.671 0.321  0.97
Ce: 0.499 0.321 0.671  0.97
F: 0.598 0.319 0.056  0.00
F: 0.598 0.056 0.319  0.00
F: 0.204 0.364 0.364  0.00
F: 0.014 0.277 0.765  -0.01
F: 0.014 0.765 0.277  -0.01
F: 0.779 0.602 0.602  -0.01
F: 0.483 0.954 0.679  0.00
F: 0.483 0.679 0.954  0.00